# Cr4OsW, relaxed, DFT GGA-PBEsol
data_Cr4OsW
_chemical_formula_sum 'Cr16 Os4 W4'
_space_group_name_H-M_alt 'F -4 3 m'
_space_group_IT_number 216
_space_group_name_Hall 'F -4 2 3'
_cell_length_a 6.661
_cell_length_b 6.661
_cell_length_c 6.661
_cell_angle_alpha 90.00
_cell_angle_beta 90.00
_cell_angle_gamma 90.00
loop_
_atom_site_label
_atom_site_type_symbol
_atom_site_fract_x
_atom_site_fract_y
_atom_site_fract_z
Cr1 Cr 0.124 0.124 0.124
Os1 Os 0.000 0.000 0.500
W1 W 0.250 0.250 0.750
# density of states at the Fermi level	0.980	states/eV/atom
# DFT formation energy	0.035	eV/atom
# crystal system	cubic
# size of the total moment	0.00	μB/f.u.